Record 1
Here is a geometry-optimized RuRhC structure from Alexandria via LeMat-Bulk. Energies are from PBE-GGA.

The calculation puts the mass density at 9.94 g cm⁻³. The energy of formation from the pure elements is 0.371 eV/atom. The energy above the most stable polymorph in this dataset comes out at 46.5 meV per atom.

It has space group R3m (No. 160, hexagonal axes), with a = 3.1640 Å, b = 3.1640 Å, c = 12.4817 Å, α = 90.00°, β = 90.00° and γ = 120.00°. The inequivalent atoms are Ru at (0.0000, 0.0000, 0.0000), Rh at (0.0000, 0.0000, 0.4955) and C at (0.0000, 0.0000, 0.7372).

=====

Record 2
Here is a geometry-optimized AlCuSe2 structure from Alexandria via LeMat-Bulk. Energies are from PBE-GGA.

The calculation puts the formation energy from raw total energies at -5.9 kJ per mole of atoms. The calculation puts the mass density at 4.55 g cm⁻³.

It has space group Pmmm (No. 47), with a = 3.504 Å, b = 3.571 Å, c = 7.242 Å, α = 90.00°, β = 90.00° and γ = 90.00°. The inequivalent atoms are Al at (0.000, 0.000, 0.000), Cu at (0.000, 0.500, 0.500), Se at (0.500, 0.000, 0.500) and Se at (0.500, 0.500, 0.000).

=====

Record 3
Here is a geometry-optimized FeTe3Se structure from Alexandria via LeMat-Bulk. Energies are from PBE-GGA.

The calculation puts the formation energy from raw total energies at 96.9 kJ per mole of atoms. The calculation puts the mass density at 5.43 g cm⁻³. The energy above the most stable polymorph in this dataset comes out at 510.5 meV per atom.

It has space group Pm-3m (No. 221), with a = 5.409 Å, b = 5.409 Å, c = 5.409 Å, α = 90.00°, β = 90.00° and γ = 90.00°. The inequivalent atoms are Fe at (0.000, 0.000, 0.000), Te at (0.000, 0.500, 0.500) and Se at (0.500, 0.500, 0.500).

=====

Record 4
Here is a geometry-optimized NbTe3F structure from Alexandria via LeMat-Bulk. Energies are from PBE-GGA.

The calculation puts the formation energy from raw total energies at -10.7 kJ per mole of atoms. The calculation puts the mass density at 5.49 g cm⁻³. The energy above the most stable polymorph in this dataset comes out at 0.0 meV per atom.

It has space group Pm-3m (No. 221), with a = 5.310 Å, b = 5.310 Å, c = 5.310 Å, α = 90.00°, β = 90.00° and γ = 90.00°. The inequivalent atoms are Nb at (0.000, 0.000, 0.000), Te at (0.000, 0.000, 0.500) and F at (0.500, 0.500, 0.500).

=====

Record 5
Here is a geometry-optimized MnZn2Pb structure from Alexandria via LeMat-Bulk. Energies are from PBE-GGA.

The calculation puts the mass density at 8.03 g cm⁻³. The energy of formation from the pure elements is 0.402 eV/atom.

It has space group I-42d (No. 122), with a = 7.672 Å, b = 7.672 Å, c = 5.525 Å, α = 90.00°, β = 90.00° and γ = 90.00°. The inequivalent atoms are Mn at (0.000, 0.000, 0.000), Zn at (0.219, 0.750, 0.125) and Pb at (0.000, 0.000, 0.500).

=====

Record 6
Here is a geometry-optimized Li2ScW structure from Alexandria via LeMat-Bulk. Energies are from PBE-GGA.

The calculation puts the mass density at 5.66 g cm⁻³. The energy of formation from the pure elements is 0.479 eV/atom. The energy above the most stable polymorph in this dataset comes out at 204.8 meV per atom.

It has space group R-3m (No. 166, hexagonal axes), with a = 2.8141 Å, b = 2.8141 Å, c = 31.1684 Å, α = 90.00°, β = 90.00° and γ = 120.00°. The inequivalent atoms are Li at (0.0000, 0.0000, 0.2451), Sc at (0.0000, 0.0000, 0.0000) and W at (0.0000, 0.0000, 0.5000).

=====

Record 7
Here is a geometry-optimized RbBa2TbI8 structure from Alexandria via LeMat-Bulk. Energies are from PBE-GGA.

The calculation puts the formation energy from raw total energies at -151.5 kJ per mole of atoms. The calculation puts the mass density at 4.00 g cm⁻³.

It has space group P-1 (No. 2), with a = 7.618 Å, b = 7.919 Å, c = 10.546 Å, α = 90.01°, β = 90.04° and γ = 90.27°. The inequivalent atoms are Rb at (0.000, 0.000, 0.000), Ba at (0.500, 0.500, 0.256), Tb at (0.000, 0.000, 0.500), I at (0.231, 0.853, 0.292), I at (0.232, 0.854, 0.708), I at (0.233, 0.325, 0.500) and I at (0.248, 0.389, 0.000).

=====

Record 8
Here is a geometry-optimized Pr2Dy9Th structure from Alexandria via LeMat-Bulk. Energies are from PBE-GGA.

The calculation puts the mass density at 8.48 g cm⁻³. The energy of formation from the pure elements is 0.024 eV/atom.

It has space group P4/mmm (No. 123), with a = 5.051 Å, b = 5.051 Å, c = 15.165 Å, α = 90.00°, β = 90.00° and γ = 90.00°. The inequivalent atoms are Pr at (0.000, 0.000, 0.168), Dy at (0.000, 0.500, 0.000), Dy at (0.000, 0.500, 0.337), Dy at (0.500, 0.500, 0.167), Dy at (0.500, 0.500, 0.500) and Th at (0.000, 0.000, 0.500).